{
  "formula": "SiW2Cl",
  "functional": "PBEsol",
  "state": "optimized geometry",
  "lattice": [[3.144, 0.000, 0.000], [0.000, 3.144, 0.000], [0.000, 0.000, 6.584]],
  "species": ["Si", "W", "W", "Cl"],
  "frac_coords": [[0.000, 0.000, 0.000], [0.500, 0.500, 0.185], [0.500, 0.500, 0.815], [0.000, 0.000, 0.500]],
  "formation_energy_uncorrected_mev_per_atom": 406,
  "space_group": "P4/mmm (123)"
}



{
  "formula": "SiW2Cl",
  "functional": "PBEsol",
  "state": "optimized geometry",
  "lattice": [[3.208, 0.000, 0.000], [0.000, 4.114, 0.000], [-0.321, 0.000, 5.401]],
  "species": ["Si", "W", "W", "Cl"],
  "frac_coords": [[0.000, 0.000, 0.000], [0.298, 0.500, 0.179], [0.702, 0.500, 0.821], [0.500, 0.000, 0.500]],
  "formation_energy_uncorrected_mev_per_atom": 655,
  "space_group": "P2/m (10)"
}



{
  "formula": "SiWCl2",
  "functional": "PBEsol",
  "state": "optimized geometry",
  "lattice": [[2.897, 0.000, 0.000], [0.000, 5.656, 0.000], [0.000, 0.000, 9.024]],
  "species": ["Si", "Si", "W", "W", "Cl", "Cl", "Cl", "Cl"],
  "frac_coords": [[0.000, 0.000, 0.000], [0.500, 0.500, 0.000], [0.000, 0.500, 0.225], [0.500, 0.000, 0.225], [0.000, 0.000, 0.436], [0.000, 0.500, 0.795], [0.500, 0.000, 0.795], [0.500, 0.500, 0.436]],
  "formation_energy_uncorrected_mev_per_atom": 118,
  "space_group": "Cmm2 (35)"
}



{
  "formula": "SiWCl2",
  "functional": "PBEsol",
  "state": "optimized geometry",
  "lattice": [[4.120, 0.000, 0.000], [0.000, 4.120, 0.000], [0.000, 0.000, 7.363]],
  "species": ["Si", "Si", "W", "W", "Cl", "Cl", "Cl", "Cl"],
  "frac_coords": [[0.000, 0.000, 0.000], [0.500, 0.500, 0.500], [0.000, 0.500, 0.250], [0.500, 0.000, 0.750], [0.000, 0.000, 0.500], [0.000, 0.500, 0.750], [0.500, 0.000, 0.250], [0.500, 0.500, 0.000]],
  "formation_energy_uncorrected_mev_per_atom": 834,
  "space_group": "I-4m2 (119)"
}



{
  "formula": "YSiCl",
  "functional": "PBEsol",
  "state": "optimized geometry",
  "lattice": [[6.670, 0.000, 0.000], [0.000, 6.670, 0.000], [0.000, 0.000, 6.670]],
  "species": ["Y", "Y", "Y", "Y", "Si", "Si", "Si", "Si", "Cl", "Cl", "Cl", "Cl"],
  "frac_coords": [[0.000, 0.000, 0.000], [0.000, 0.500, 0.500], [0.500, 0.000, 0.500], [0.500, 0.500, 0.000], [0.250, 0.250, 0.750], [0.250, 0.750, 0.250], [0.750, 0.250, 0.250], [0.750, 0.750, 0.750], [0.250, 0.250, 0.250], [0.250, 0.750, 0.750], [0.750, 0.250, 0.750], [0.750, 0.750, 0.250]],
  "formation_energy_uncorrected_mev_per_atom": -312,
  "space_group": "F-43m (216)"
}



{
  "formula": "YSiCl",
  "functional": "PBEsol",
  "state": "optimized geometry",
  "lattice": [[3.471, 0.000, 0.000], [0.000, 3.471, 0.000], [0.000, 0.000, 10.356]],
  "species": ["Y", "Y", "Si", "Si", "Cl", "Cl"],
  "frac_coords": [[0.000, 0.000, 0.000], [0.500, 0.500, 0.500], [0.000, 0.000, 0.311], [0.500, 0.500, 0.811], [0.000, 0.000, 0.612], [0.500, 0.500, 0.112]],
  "formation_energy_uncorrected_mev_per_atom": -706,
  "space_group": "I4mm (107)"
}



For each record above, in turn, the calculated energy values are -8.4366 -8.1878 -5.7750 -5.0589 -5.1713 -5.5649 eV per atom.
For each record above, in turn, the calculated ρ values are 11000 10046 6353 7514 3412 4058 kg/m3.